Here is a geometry-optimized BaSrSi3 structure from Alexandria via LeMat-Bulk. Energies are from PBE.

The structure in extended XYZ format:
```
5
Lattice="5.5419 0.0000 0.0000 0.0000 5.5419 0.0000 0.0000 0.0000 5.5419" Properties=species:S:1:pos:R:3 pbc="T T T"
Si 0.0000 2.7709 0.0000
Sr 0.0000 0.0000 0.0000
Si 2.7709 0.0000 0.0000
Ba 2.7709 2.7709 2.7709
Si 0.0000 0.0000 2.7709
```

Results
E_tot = -15.9 eV/cell
Fermi-level density of states = 2.89 states/eV/cell
E_form (uncorrected) = 18.17 kcal/mol of atoms
magnetic moment = 0.00 μB per atom
crystal system = cubic


Here is a geometry-optimized Tb2O3 structure from Alexandria via LeMat-Bulk. Energies are from PBE.

The structure in extended XYZ format:
```
40
Lattice="-2.0942 8.5255 -3.0777 -6.7425 -2.9940 5.6672 8.0584 0.2708 4.6402" Properties=species:S:1:pos:R:3 pbc="T T T"
Tb 0.8154 5.6933 1.7610
Tb 1.1793 -1.7588 7.7809
Tb 4.1883 6.7756 1.2554
O -3.5466 6.7990 1.0288
Tb -4.9665 -0.9732 5.9744
O 1.1586 3.4395 1.9810
Tb -1.0471 4.2628 -1.5388
O 1.0483 6.2539 5.7655
Tb -3.3712 -1.4970 2.8336
O -0.9936 5.0886 3.1626
O 1.4962 3.2420 4.9126
O 0.1317 0.1045 6.9585
Tb -2.6424 4.7865 1.6019
O -2.9166 -0.7188 7.1302
Tb -6.5850 4.0609 2.2745
Tb 5.8068 1.7415 4.9552
O 5.1238 3.9061 4.2838
O -0.9099 5.6979 0.2712
O -2.2744 2.5603 2.3171
O -0.4701 3.5093 7.8048
O -2.6596 5.7558 5.7662
O 0.2154 0.7138 4.0671
O 2.7684 -0.9966 6.2009
O 2.9371 5.6507 2.8093
O -1.9368 2.3628 5.2487
Tb -0.3891 2.9012 3.6149
O 2.1384 6.5212 0.0995
Tb 4.0292 0.1354 2.3201
O 3.6614 1.3372 4.2630
Tb -1.9575 7.5611 -0.5512
O -1.8265 -0.4515 1.4642
O 1.8814 0.0466 1.4635
O -0.3082 2.2931 -0.5751
Tb -3.8970 2.3686 3.9220
O -5.9021 1.8963 2.9459
Tb -1.5936 0.1091 5.4688
Tb 1.8641 1.0159 5.6278
Tb 3.1188 3.4338 3.3077
O -4.4396 4.4652 2.9667
O -3.7154 0.1517 4.4204
```

Results
E_tot = -335.7 eV/cell
Fermi-level density of states = 0.00 states/eV/cell
E_form (uncorrected) = -82.24 kcal/mol of atoms
magnetic moment = 0.00 μB per atom
crystal system = cubic


Here is a geometry-optimized Ac6Pd5Rh structure from Alexandria via LeMat-Bulk. Energies are from PBE.

The structure in extended XYZ format:
```
12
Lattice="4.1718 0.3238 -1.2994 -0.9272 8.7219 -0.8059 0.3654 3.1644 9.3040" Properties=species:S:1:pos:R:3 pbc="T T T"
Ac 3.1810 7.4731 4.6574
Pd 0.8472 9.4699 5.0477
Pd 2.2908 7.0713 1.7133
Ac -0.0586 9.0906 2.0640
Pd 2.7629 2.7402 2.1509
Ac 0.4290 4.7370 2.5412
Pd -0.4636 4.3609 -0.4030
Rh 0.0000 0.0000 0.0000
Ac 1.8669 2.2585 -0.8299
Ac 3.6686 3.1194 5.1346
Pd 1.3193 5.1388 5.4853
Ac 1.7431 9.9515 8.0285
```

Results
E_tot = -67.1 eV/cell
formation enthalpy at 0 K = -763 meV/atom
Fermi-level density of states = 6.66 states/eV/cell
magnetic moment = 0.00 μB per atom
crystal system = triclinic


Here is a geometry-optimized MgTiPt structure from Alexandria via LeMat-Bulk. Energies are from PBE.

The structure in extended XYZ format:
```
3
Lattice="3.3081 0.0000 0.0000 0.0000 3.3081 0.0000 -1.6540 -1.6540 4.6807" Properties=species:S:1:pos:R:3 pbc="T T T"
Pt 1.6540 1.6540 4.3096
Ti 1.6540 1.6540 0.9290
Mg 0.0000 0.0000 2.7186
```

Results
E_tot = -17.2 eV/cell
formation enthalpy at 0 K = -549 meV/atom
Fermi-level density of states = 2.12 states/eV/cell
magnetic moment = 0.25 μB per atom
crystal system = tetragonal